[1]
! Na2LiNb | Alexandria via LeMat-Bulk | PBE-GGA | relaxed; values from VASP
! **Distance to the lowest polymorph of the same formula**: 0.000 eV per atom
! **SG**: I-42d (122)
! **Formation energy from the elements**: 1.050 eV per atom
&SYSTEM
  ibrav = 0, nat = 8, ntyp = 3
/
ATOMIC_SPECIES
Na 22.99 Na.upf
Li 6.94 Li.upf
Nb 92.91 Nb.upf
ATOMIC_POSITIONS angstrom
Na -5.455 2.153 -2.430
Na -8.999 2.158 0.624
Na -6.257 -0.484 2.326
Na -14.437 2.505 -0.101
Li -5.849 0.173 -0.418
Li -9.012 0.167 2.663
Nb -8.562 3.000 -2.454
Nb 0.000 0.000 0.000
CELL_PARAMETERS angstrom
-5.400 3.006 -5.536
-6.299 -2.660 4.699
-5.875 2.820 1.045

***

[2]
! Hg8I | Alexandria via LeMat-Bulk | PBE-GGA | relaxed; values from VASP
! **Distance to the lowest polymorph of the same formula**: 0.000 eV per atom
! **SG**: I4/mmm (139)
&SYSTEM
  ibrav = 0, nat = 9, ntyp = 2
/
ATOMIC_SPECIES
Hg 200.59 Hg.upf
I 126.90 I.upf
ATOMIC_POSITIONS angstrom
Hg -1.691 -0.950 2.553
Hg -1.437 -3.785 1.462
Hg -0.898 -1.842 5.368
Hg 2.188 -5.288 -0.519
Hg -1.774 1.981 3.385
Hg 1.601 4.741 2.825
Hg -3.180 3.551 6.068
Hg -2.575 -6.785 2.621
I 0.000 0.000 0.000
CELL_PARAMETERS angstrom
-6.377 -2.245 5.616
2.365 -8.325 -1.532
1.424 7.778 3.838

***

[3]
! TbSm2DySb4 | Alexandria via LeMat-Bulk | PBE-GGA | relaxed; values from VASP
! **SG**: P2/m (10)
! **VASP energy**: -5.553 eV/atom
&SYSTEM
  ibrav = 0, nat = 8, ntyp = 4
/
ATOMIC_SPECIES
Sb 121.76 Sb.upf
Dy 162.50 Dy.upf
Sm 150.36 Sm.upf
Tb 158.93 Tb.upf
ATOMIC_POSITIONS angstrom
Sb 2.217 1.245 1.793
Sb 0.000 5.091 1.863
Sb 0.000 -0.098 5.461
Sb 2.217 3.748 5.531
Dy 0.000 0.000 0.000
Sm 2.217 -1.342 3.596
Sm 0.000 2.496 3.662
Tb 2.217 3.838 0.066
CELL_PARAMETERS angstrom
4.435 0.000 0.000
0.000 7.676 0.133
0.000 -2.684 7.191

***

[4]
! Pm2Ni4As3Pt | Alexandria via LeMat-Bulk | PBE-GGA | relaxed; values from VASP
! **SG**: P-4m2 (115)
! **Formation energy from the elements**: -0.757 eV per atom
&SYSTEM
  ibrav = 0, nat = 10, ntyp = 4
/
ATOMIC_SPECIES
As 74.92 As.upf
Pt 195.08 Pt.upf
Pm 145.00 Pm.upf
Ni 58.69 Ni.upf
ATOMIC_POSITIONS angstrom
As 0.000 0.000 4.944
As 0.000 2.058 1.258
As 2.058 0.000 8.630
Pt 2.058 2.058 4.944
Pm 0.000 2.058 7.444
Pm 2.058 0.000 2.444
Ni 2.058 0.000 6.317
Ni 0.000 2.058 3.571
Ni 2.058 2.058 0.000
Ni 0.000 0.000 0.000
CELL_PARAMETERS angstrom
4.117 0.000 0.000
0.000 4.117 0.000
0.000 0.000 9.888

***

[5]
! YAl12Pt4 | Alexandria via LeMat-Bulk | PBE-GGA | relaxed; values from VASP
! **SG**: Im-3 (204)
! **Formation energy from the elements**: -0.356 eV per atom
&SYSTEM
  ibrav = 0, nat = 17, ntyp = 3
/
ATOMIC_SPECIES
Pt 195.08 Pt.upf
Y 88.91 Y.upf
Al 26.98 Al.upf
ATOMIC_POSITIONS angstrom
Pt -2.681 -1.001 -2.504
Pt -0.507 -1.928 3.238
Pt -0.244 3.731 0.695
Pt -3.432 0.801 1.429
Y 0.000 0.000 0.000
Al -2.001 -1.064 5.008
Al -2.415 -1.429 1.748
Al -4.863 2.667 -2.151
Al -1.440 2.096 2.112
Al -2.427 4.890 0.644
Al -4.437 -3.287 2.213
Al -4.449 3.032 1.109
Al -4.948 -1.637 -1.749
Al -3.008 0.936 -1.003
Al -1.916 3.240 4.607
Al -3.856 0.667 3.861
Al -5.424 -0.493 0.745
CELL_PARAMETERS angstrom
-5.362 -2.003 -5.009
-1.014 -3.856 6.477
-0.488 7.462 1.389

***

[6]
! Li2GaF | Alexandria via LeMat-Bulk | PBE-GGA | relaxed; values from VASP
! **Distance to the lowest polymorph of the same formula**: 0.130 eV per atom
! **SG**: I-42d (122)
&SYSTEM
  ibrav = 0, nat = 8, ntyp = 3
/
ATOMIC_SPECIES
F 19.00 F.upf
Li 6.94 Li.upf
Ga 69.72 Ga.upf
ATOMIC_POSITIONS angstrom
F 1.439 -3.351 -5.565
F -0.685 -1.407 -3.720
Li -1.269 -6.019 -7.841
Li 0.257 -4.739 -5.416
Li -1.681 -2.413 -2.562
Li 0.888 -2.111 -4.337
Ga 0.000 0.000 0.000
Ga -2.342 -4.290 -4.514
CELL_PARAMETERS angstrom
-4.466 -2.346 -2.669
3.097 -0.467 -4.771
0.466 -4.828 -2.638

***

[7]
! Tc2PtSe2 | Alexandria via LeMat-Bulk | PBE-GGA | relaxed; values from VASP
! **Distance to the lowest polymorph of the same formula**: 0.015 eV per atom
! **SG**: P4/mbm (127)
&SYSTEM
  ibrav = 0, nat = 10, ntyp = 3
/
ATOMIC_SPECIES
Se 78.96 Se.upf
Tc 98.00 Tc.upf
Pt 195.08 Pt.upf
ATOMIC_POSITIONS angstrom
Se -3.224 -5.274 -2.701
Se -3.339 0.258 -3.483
Se -5.230 -2.828 -5.068
Se -1.332 -2.188 -1.115
Tc -5.730 -0.634 -3.705
Tc -2.959 -4.136 -0.421
Tc -5.694 -4.521 -3.202
Tc -2.995 -0.248 -0.924
Pt -3.281 -2.508 -3.092
Pt 0.000 0.000 0.000
CELL_PARAMETERS angstrom
-4.762 1.980 -5.160
-1.800 -6.996 -1.023
-2.127 0.246 2.057

***

[8]
! Na3LaIn | Alexandria via LeMat-Bulk | PBE-GGA | relaxed; values from VASP
! **Distance to the lowest polymorph of the same formula**: 0.000 eV per atom
! **SG**: Pm-3m (221)
! **Formation energy from the elements**: 0.381 eV per atom
&SYSTEM
  ibrav = 0, nat = 5, ntyp = 3
/
ATOMIC_SPECIES
Na 22.99 Na.upf
In 114.82 In.upf
La 138.91 La.upf
ATOMIC_POSITIONS angstrom
Na 2.821 0.000 0.000
Na 0.000 0.000 2.821
Na 0.000 2.821 0.000
In 0.000 0.000 0.000
La 2.821 2.821 2.821
CELL_PARAMETERS angstrom
5.641 0.000 0.000
0.000 5.641 0.000
0.000 0.000 5.641

***

[9]
! CaLa2Co | Alexandria via LeMat-Bulk | PBE-GGA | relaxed; values from VASP
! **Distance to the lowest polymorph of the same formula**: 0.454 eV per atom
! **SG**: I-4m2 (119)
! **Formation energy from the elements**: 0.384 eV per atom
&SYSTEM
  ibrav = 0, nat = 4, ntyp = 3
/
ATOMIC_SPECIES
Ca 40.08 Ca.upf
La 138.91 La.upf
Co 58.93 Co.upf
ATOMIC_POSITIONS angstrom
Ca -2.197 2.750 -4.138
La -3.107 0.464 -1.608
La 0.000 0.000 0.000
Co -1.559 3.091 -0.684
CELL_PARAMETERS angstrom
-0.649 5.377 -3.215
-3.745 0.123 -5.062
-0.271 -1.944 5.984

***

[10]
! Zr4Hg5Pd2 | Alexandria via LeMat-Bulk | PBE-GGA | relaxed; values from VASP
! **SG**: P2/m (10)
! **Formation energy from the elements**: -0.280 eV per atom
&SYSTEM
  ibrav = 0, nat = 11, ntyp = 3
/
ATOMIC_SPECIES
Pd 106.42 Pd.upf
Hg 200.59 Hg.upf
Zr 91.22 Zr.upf
ATOMIC_POSITIONS angstrom
Pd 1.606 -6.542 -3.913
Pd -4.781 -3.684 -1.596
Hg -2.794 -8.462 -4.541
Hg -0.381 -1.764 -0.968
Hg 0.225 -4.392 -2.536
Hg -3.400 -5.834 -2.973
Hg 2.415 -2.458 -1.664
Zr -2.480 -2.868 -3.128
Zr -0.975 -5.861 -5.001
Zr -6.382 -4.684 -3.749
Zr 2.927 -4.045 -4.379
CELL_PARAMETERS angstrom
-0.280 1.498 -2.619
4.830 -4.917 -3.328
-8.005 -5.310 -2.181

***

[11]
! LiAlFe | Alexandria via LeMat-Bulk | PBE-GGA | relaxed; values from VASP
! **SG**: C2/m (12)
! **Formation energy from the elements**: -0.103 eV per atom
&SYSTEM
  ibrav = 0, nat = 6, ntyp = 3
/
ATOMIC_SPECIES
Li 6.94 Li.upf
Al 26.98 Al.upf
Fe 55.84 Fe.upf
ATOMIC_POSITIONS angstrom
Li -2.964 -2.075 1.484
Li -2.163 -2.258 -0.957
Al -1.533 -3.731 3.040
Al -3.594 -0.602 -2.514
Fe -2.000 0.361 -0.587
Fe -3.127 -4.695 1.113
CELL_PARAMETERS angstrom
-2.258 1.740 0.997
-0.928 -1.320 -4.371
-1.941 -4.754 3.900

***

[12]
! CoRe4Tc | Alexandria via LeMat-Bulk | PBE-GGA | relaxed; values from VASP
! **Distance to the lowest polymorph of the same formula**: 0.000 eV per atom
! **SG**: P2_1/c (14)
! **Formation energy from the elements**: 0.162 eV per atom
&SYSTEM
  ibrav = 0, nat = 24, ntyp = 3
/
ATOMIC_SPECIES
Re 186.21 Re.upf
Co 58.93 Co.upf
Tc 98.00 Tc.upf
ATOMIC_POSITIONS angstrom
Re 0.797 0.302 3.698
Re 11.470 9.913 1.185
Re 3.218 3.624 0.003
Re 5.336 4.806 1.256
Re 6.930 5.410 3.627
Re 6.661 7.012 1.314
Re 9.048 6.591 4.880
Re 1.001 2.929 3.619
Re 5.605 3.203 3.569
Re 11.265 7.286 1.264
Re 0.528 1.904 1.128
Re 2.915 1.483 2.444
Re 9.352 8.732 2.439
Re 5.132 2.179 1.178
Re 11.739 8.311 3.756
Re 7.135 8.037 3.705
Co 2.991 1.019 4.843
Co 9.276 9.197 0.041
Co 3.142 4.089 2.401
Co 9.124 6.127 2.482
Tc 8.507 3.361 3.564
Tc 3.760 6.855 1.320
Tc 4.378 5.775 3.761
Tc 7.889 4.440 1.122
CELL_PARAMETERS angstrom
10.262 2.693 0.000
2.004 7.522 0.000
0.000 0.000 4.883

***

Total moment (computed, μB per cell): 7.89, 0.00, 0.00, 0.00, 0.00, 0.00, 0.00, 0.89, 0.33, 0.00, 3.74, 0.00
V (computed, Å³ per cell): 208.2, 322.9, 246.4, 167.6, 338.7, 122.7, 158.1, 179.5, 110.3, 227.9, 81.4, 350.6